8
Lattice="-2.420 2.699 -2.180 -2.885 -0.088 3.093 1.267 7.925 4.300" Properties=species:S:1:pos:R:3 comment="PBE HfNi2Bi, optimized geometry" ef_ev_per_atom=0.240 sg="No. 122" pbc="T T T"
Bi -1.902 5.965 1.288
Hf -2.652 1.305 0.456
Hf -2.135 4.571 3.924
Ni -1.855 2.337 2.676
Bi 0.000 0.000 0.000
Ni -3.612 8.231 3.939
Ni -1.118 6.921 3.652
Ni -1.490 3.583 0.158

4
Lattice="0.000 3.558 3.558 3.558 0.000 3.558 3.558 3.558 0.000" Properties=species:S:1:pos:R:3 comment="PBE HfNiBi2, optimized geometry" ef_ev_per_atom=0.300 sg="No. 225" pbc="T T T"
Bi 1.779 1.779 1.779
Bi 5.337 5.337 5.337
Hf 3.558 3.558 3.558
Ni 0.000 0.000 0.000

Number 1: V 19.2 Å³/atom. Number 2: V 22.5 Å³/atom.